Record 1
CaLa4Se6: relaxed, PBE.

Crystal system: trigonal

```
data_CaLa4Se6
_chemical_formula_sum 'Ca6 La24 Se36'
_space_group_name_H-M_alt 'R -3 c'
_space_group_IT_number 167
_space_group_name_Hall '-R 3 2"c'
_cell_length_a 12.0105
_cell_length_b 12.0105
_cell_length_c 14.5042
_cell_angle_alpha 90.00
_cell_angle_beta 90.00
_cell_angle_gamma 120.00
loop_
_atom_site_label
_atom_site_type_symbol
_atom_site_fract_x
_atom_site_fract_y
_atom_site_fract_z
_atom_site_occupancy
Ca1 Ca 0.0000 0.0000 0.0000 1
La1 La 0.0000 0.0000 0.2500 1
La2 La 0.0000 0.3848 0.2500 1
Se1 Se 0.0290 0.2037 0.3862 1
```



Record 2
Ho4SiGeS2: relaxed, PBE.

Crystal system: tetragonal

```
data_Ho4SiGeS2
_chemical_formula_sum 'Ho8 Si2 Ge2 S4'
_space_group_name_H-M_alt 'I -4 m 2'
_space_group_IT_number 119
_space_group_name_Hall 'I -4 -2'
_cell_length_a 5.6728
_cell_length_b 5.6728
_cell_length_c 11.3733
_cell_angle_alpha 90.00
_cell_angle_beta 90.00
_cell_angle_gamma 90.00
loop_
_atom_site_label
_atom_site_type_symbol
_atom_site_fract_x
_atom_site_fract_y
_atom_site_fract_z
_atom_site_occupancy
Ho1 Ho 0.0000 0.0000 0.2481 1
Ho2 Ho 0.0000 0.5000 0.0006 1
Si1 Si 0.0000 0.5000 0.7500 1
Ge1 Ge 0.0000 0.0000 0.5000 1
S1 S 0.0000 0.0000 0.0000 1
S2 S 0.0000 0.5000 0.2500 1
```



Number 1: uncorrected formation energy -1902 meV per atom, spin magnetization 0.000 Bohr magnetons per cell, DOS(E_F) 0.539 states/eV per atom. Number 2: uncorrected formation energy -1442 meV per atom, spin magnetization 0.000 Bohr magnetons per cell, DOS(E_F) 0.171 states/eV per atom.